Below is a relaxed AcDyHoLu crystal, with properties calculated at the PBE-GGA level.

Geometry as POSCAR:
```
AcDyHoLu
1.0
5.780 0.000 0.000
2.890 5.006 0.000
2.890 1.669 4.720
Dy Lu Ho Ac
1 1 1 1
direct
0.750 0.750 0.750
0.000 0.000 0.000
0.500 0.500 0.500
0.250 0.250 0.250
```

Values from the calculation:
ΔE_f = 46.4 kJ/mol of formula units
ρ = 8.87 g/cm3
space-group type = F-43m (216)